Record 1
# PBE-GGA PrSbN2, relaxed
data_PrSbN2
_chemical_formula_sum 'Pr1 Sb1 N2'
_space_group_name_H-M_alt 'P 1'
_space_group_IT_number 1
_cell_length_a 3.751
_cell_length_b 3.751
_cell_length_c 6.924
_cell_angle_alpha 74.28
_cell_angle_beta 74.28
_cell_angle_gamma 60.00
loop_
_space_group_symop_operation_xyz
'x,y,z'
loop_
_atom_site_label
_atom_site_fract_x
_atom_site_fract_y
_atom_site_fract_z
Sb1 0.000 0.000 0.000
N1 0.103 0.103 0.691
Pr1 0.500 0.500 0.500
N2 0.897 0.897 0.309
# - formation energy (no corrections) (eV per atom) = -0.15
# - space group = R-3m, No. 166
# - crystal system = trigonal

=====

Record 2
# PBE-GGA Pr3SbN2, relaxed
data_Pr3SbN2
_chemical_formula_sum 'Pr6 Sb2 N4'
_space_group_name_H-M_alt 'P 1'
_space_group_IT_number 1
_cell_length_a 3.601
_cell_length_b 6.651
_cell_length_c 11.370
_cell_angle_alpha 90.00
_cell_angle_beta 90.00
_cell_angle_gamma 90.00
loop_
_space_group_symop_operation_xyz
'x,y,z'
loop_
_atom_site_label
_atom_site_fract_x
_atom_site_fract_y
_atom_site_fract_z
Sb1 0.000 0.022 0.866
Sb2 0.000 0.522 0.134
Pr1 0.500 0.616 0.892
Pr2 0.000 0.741 0.592
N1 0.000 0.014 0.247
Pr3 0.000 0.241 0.408
Pr4 0.500 0.275 0.673
Pr5 0.500 0.116 0.108
Pr6 0.500 0.775 0.327
N2 0.500 0.033 0.504
N3 0.000 0.514 0.753
N4 0.500 0.533 0.496
# - formation energy (no corrections) (eV per atom) = -1.06
# - space group = Pmc2_1, No. 26
# - crystal system = orthorhombic

=====

Record 3
# PBE-GGA Pr5Sb2SeN, relaxed
data_Pr5Sb2SeN
_chemical_formula_sum 'Pr5 Sb2 Se1 N1'
_space_group_name_H-M_alt 'P 1'
_space_group_IT_number 1
_cell_length_a 4.767
_cell_length_b 4.767
_cell_length_c 11.497
_cell_angle_alpha 90.00
_cell_angle_beta 90.00
_cell_angle_gamma 90.00
loop_
_space_group_symop_operation_xyz
'x,y,z'
loop_
_atom_site_label
_atom_site_fract_x
_atom_site_fract_y
_atom_site_fract_z
Pr1 0.000 0.000 0.748
Se1 0.000 0.000 0.000
Pr2 0.500 0.500 0.000
Sb1 0.500 0.500 0.286
Pr3 0.500 0.000 0.500
Pr4 0.000 0.000 0.252
Pr5 0.000 0.500 0.500
Sb2 0.500 0.500 0.714
N1 0.000 0.000 0.500
# - formation energy (no corrections) (eV per atom) = -1.15
# - space group = P4/mmm, No. 123
# - crystal system = tetragonal

=====

Record 4
# PBE-GGA Pr3SbSeN, relaxed
data_Pr3SbSeN
_chemical_formula_sum 'Pr6 Sb2 Se2 N2'
_space_group_name_H-M_alt 'P 1'
_space_group_IT_number 1
_cell_length_a 4.281
_cell_length_b 9.006
_cell_length_c 9.524
_cell_angle_alpha 99.99
_cell_angle_beta 90.00
_cell_angle_gamma 90.00
loop_
_space_group_symop_operation_xyz
'x,y,z'
loop_
_atom_site_label
_atom_site_fract_x
_atom_site_fract_y
_atom_site_fract_z
Pr1 0.750 0.897 0.159
Pr2 0.250 0.840 0.489
Pr3 0.250 0.103 0.841
Sb1 0.750 0.827 0.789
Pr4 0.750 0.410 0.155
Pr5 0.250 0.590 0.845
Se1 0.750 0.350 0.840
N1 0.250 0.091 0.599
Sb2 0.250 0.173 0.211
Pr6 0.750 0.160 0.511
Se2 0.250 0.650 0.160
N2 0.750 0.909 0.401
# - formation energy (no corrections) (eV per atom) = -1.36
# - space group = P2_1/m, No. 11
# - crystal system = monoclinic